[1]
First-principles (PBE-GGA) data for an optimized crystal structure of CsMo3H, as listed in the Alexandria database.

a = 4.927 Å, b = 4.927 Å, c = 4.927 Å
α = 90.00°, β = 90.00°, γ = 90.00°
Positions (direct):
Cs1 0.000 0.000 0.000
Mo1 0.000 0.000 0.500
Mo2 0.000 0.500 0.000
Mo3 0.500 0.000 0.000
H1 0.500 0.500 0.500

Output
Symmetry   Pm-3m, No. 221
Energy above the lowest structure with this stoichiometry   2.097 eV per atom

=====

[2]
First-principles (PBE-GGA) data for an optimized crystal structure of PmDy3Ho2As6, as listed in the Alexandria database.

a = 7.158 Å, b = 7.158 Å, c = 7.159 Å
α = 99.59°, β = 99.59°, γ = 119.99°
Positions (direct):
Pm1 0.000 0.000 0.000
Dy1 0.166 0.834 0.500
Dy2 0.500 0.500 0.500
Dy3 0.834 0.166 0.500
Ho1 0.333 0.667 0.000
Ho2 0.667 0.333 0.000
As1 0.084 0.422 0.252
As2 0.254 0.254 0.749
As3 0.422 0.084 0.252
As4 0.578 0.916 0.748
As5 0.746 0.746 0.251
As6 0.916 0.578 0.748

Output
Symmetry   C2/m, No. 12
Energy relative to the elements   -1.53 eV/atom

=====

Number 1: total energy -3.460 eV per atom. Number 2: total energy -6.162 eV per atom.